[1]
Entry from Alexandria via LeMat-Bulk: PmThIrRh after structural relaxation (PBE-GGA).

```
PmThIrRh
1.0
3.9392 0.0000 0.0000
0.0000 4.2143 0.0000
-1.9696 0.0000 5.5566
Ir Pm Th Rh
1 1 1 1
Direct
0.4080 0.0000 0.8160
0.1389 0.0000 0.2778
0.8609 0.5000 0.7218
0.5922 0.5000 0.1843
```

SG: Amm2, No. 38

[2]
Entry from Alexandria via LeMat-Bulk: Pm5Tl2IrRh2 after structural relaxation (PBE-GGA).

```
Pm5Tl2IrRh2
1.0
-2.4038 -2.5956 -0.8924
0.8781 -4.5695 10.9260
-8.8905 6.9837 3.6352
Tl Pm Rh Ir
4 10 4 2
Direct
0.0000 0.6755 0.1755
0.0000 0.1755 0.3245
0.0000 0.8245 0.6755
0.0000 0.3245 0.8245
0.5000 0.8067 0.9302
0.5000 0.6933 0.4302
0.5000 0.1933 0.0698
0.5000 0.5000 0.0000
0.5000 0.4302 0.3067
0.5000 0.3067 0.5698
0.5000 0.5698 0.6933
0.5000 0.9302 0.1933
0.5000 0.0000 0.5000
0.5000 0.0698 0.8067
0.0000 0.8647 0.3647
0.0000 0.3647 0.1353
0.0000 0.1353 0.6353
0.0000 0.6353 0.8647
0.0000 0.5000 0.5000
0.0000 0.0000 0.0000
```

SG: P4/mbm, No. 127

[3]
Entry from Alexandria via LeMat-Bulk: PmZnIrRh after structural relaxation (PBE-GGA).

```
PmZnIrRh
1.0
4.6550 0.0000 0.0000
2.3275 4.0313 0.0000
2.3275 1.3438 3.8008
Ir Rh Pm Zn
1 1 1 1
Direct
0.7500 0.7500 0.7500
0.2500 0.2500 0.2500
0.5000 0.5000 0.5000
0.0000 0.0000 0.0000
```

SG: F-43m, No. 216

[4]
Entry from Alexandria via LeMat-Bulk: Pm2Zn5IrRh2 after structural relaxation (PBE-GGA).

```
Pm2Zn5IrRh2
1.0
3.8033 0.0000 0.0000
0.0000 9.6780 0.0000
0.0000 0.0000 9.6780
Zn Rh Pm Ir
10 4 4 2
Direct
0.5000 0.9466 0.1892
0.5000 0.5534 0.6892
0.5000 0.5000 0.0000
0.5000 0.0534 0.8108
0.5000 0.8108 0.9466
0.5000 0.3108 0.5534
0.5000 0.4466 0.3108
0.5000 0.1892 0.0534
0.5000 0.6892 0.4466
0.5000 0.0000 0.5000
0.0000 0.8753 0.3753
0.0000 0.1247 0.6247
0.0000 0.3753 0.1247
0.0000 0.6247 0.8753
0.0000 0.3220 0.8220
0.0000 0.8220 0.6780
0.0000 0.6780 0.1780
0.0000 0.1780 0.3220
0.0000 0.5000 0.5000
0.0000 0.0000 0.0000
```

SG: P4/mbm, No. 127

[5]
Entry from Alexandria via LeMat-Bulk: PmIrRu after structural relaxation (PBE-GGA).

```
PmIrRu
1.0
-1.2283 -3.4801 -2.0405
3.9084 -0.4574 -1.5725
-1.0221 -1.8057 3.6949
Pm Ir Ru
1 1 1
Direct
0.6667 0.6667 0.3333
0.1667 0.0000 0.0000
0.1667 0.3333 0.6667
```

SG: P-6m2, No. 187

[6]
Entry from Alexandria via LeMat-Bulk: PmIrRu after structural relaxation (PBE-GGA).

```
PmIrRu
1.0
4.5766 0.0000 2.5697
1.5669 4.5297 2.5697
-0.0429 0.1278 5.4368
Ir Pm Ru
2 2 2
Direct
0.5000 0.5000 0.0000
0.5000 0.0000 0.5000
0.1234 0.6266 0.6266
0.8766 0.3734 0.3734
0.0000 0.0000 0.0000
0.5000 0.0000 0.0000
```

SG: Imma, No. 74

no.,ΔH_f (0 K) (eV/f.u.)
1,-3.5
2,-5.4
3,-1.5
4,-3.9
5,-0.7
6,-1.4